(1)
The following is a GGA-PBE calculation of Pr3TlPb3 after structural relaxation, from the Alexandria database.

a = 5.951 Å, b = 9.205 Å, c = 9.205 Å
α = 120.00°, β = 90.00°, γ = 90.00°
Atoms (fractional coordinates):
Pr 0.250 0.358 0.447
Pr 0.750 0.642 0.553
Pr 0.250 0.089 0.642
Pr 0.750 0.447 0.089
Pr 0.750 0.911 0.358
Pr 0.250 0.553 0.911
Pb 0.750 0.747 0.945
Pb 0.250 0.802 0.747
Pb 0.750 0.198 0.253
Pb 0.250 0.253 0.055
Pb 0.750 0.055 0.802
Pb 0.250 0.945 0.198
Tl 0.250 0.667 0.333
Tl 0.750 0.333 0.667

Calculated values
Magnetization: 0.00 μB/f.u.
ΔE_f: -0.3147 eV per atom
VASP energy: -60.065 eV/cell
Space group: P6_3/m, No. 176

***

(2)
The following is a GGA-PBE calculation of PrTlPb2 after structural relaxation, from the Alexandria database.

a = 4.308 Å, b = 4.308 Å, c = 6.729 Å
α = 90.00°, β = 90.00°, γ = 90.00°
Atoms (fractional coordinates):
Pr 0.500 0.500 0.000
Pb 0.000 0.000 0.242
Pb 0.000 0.000 0.758
Tl 0.500 0.500 0.500

Calculated values
Magnetization: 0.00 μB/f.u.
ΔE_f: -0.2278 eV per atom
E above lowest polymorph: 0.149 eV per atom
VASP energy: -15.474 eV/cell
Space group: P4/mmm, No. 123

***

(3)
The following is a GGA-PBE calculation of Pr2TlPb4 after structural relaxation, from the Alexandria database.

a = 6.822 Å, b = 6.822 Å, c = 6.872 Å
α = 120.04°, β = 120.04°, γ = 89.48°
Atoms (fractional coordinates):
Pb 0.786 0.286 0.071
Pb 0.786 0.786 0.072
Pb 0.286 0.286 0.071
Pb 0.286 0.786 0.071
Pr 0.786 0.286 0.571
Pr 0.286 0.786 0.571
Tl 0.786 0.786 0.571

Calculated values
Magnetization: 0.00 μB/f.u.
ΔE_f: -0.3203 eV per atom
VASP energy: -29.001 eV/cell
Space group: Fmmm, No. 69

***

(4)
The following is a GGA-PBE calculation of Pr5TlPb3 after structural relaxation, from the Alexandria database.

a = 6.816 Å, b = 9.849 Å, c = 9.849 Å
α = 120.00°, β = 90.00°, γ = 90.00°
Atoms (fractional coordinates):
Pr 0.000 0.667 0.333
Pr 0.000 0.333 0.667
Pr 0.500 0.333 0.667
Pr 0.750 0.000 0.279
Pr 0.250 0.279 0.279
Pr 0.250 0.000 0.721
Pr 0.750 0.721 0.721
Pr 0.500 0.667 0.333
Pr 0.250 0.721 0.000
Pr 0.750 0.279 0.000
Tl 0.000 0.000 0.000
Tl 0.500 0.000 0.000
Pb 0.250 0.000 0.375
Pb 0.750 0.000 0.625
Pb 0.750 0.625 0.000
Pb 0.750 0.375 0.375
Pb 0.250 0.375 0.000
Pb 0.250 0.625 0.625

Calculated values
Magnetization: 0.00 μB/f.u.
ΔE_f: -0.5204 eV per atom
VASP energy: -84.145 eV/cell
Space group: P6_3/mcm, No. 193

***

(5)
The following is a GGA-PBE calculation of Pr2Tl4Pb after structural relaxation, from the Alexandria database.

a = 6.047 Å, b = 6.047 Å, c = 7.651 Å
α = 113.34°, β = 113.28°, γ = 90.00°
Atoms (fractional coordinates):
Tl 0.500 0.000 0.000
Tl 0.250 0.749 0.500
Tl 0.750 0.251 0.500
Tl 0.000 0.500 0.000
Pr 0.352 0.352 0.704
Pr 0.648 0.648 0.296
Pb 0.000 0.000 0.000

Calculated values
Magnetization: 0.00 μB/f.u.
ΔE_f: -0.0121 eV per atom
VASP energy: -22.817 eV/cell
Space group: C2/m, No. 12

***

(6)
The following is a GGA-PBE calculation of Pr3TlPb2 after structural relaxation, from the Alexandria database.

a = 4.872 Å, b = 12.202 Å, c = 13.097 Å
α = 90.00°, β = 90.00°, γ = 90.00°
Atoms (fractional coordinates):
Pr 0.250 0.124 0.536
Pr 0.750 0.317 0.799
Pr 0.750 0.572 0.636
Pr 0.750 0.624 0.964
Pr 0.750 0.876 0.464
Pr 0.250 0.428 0.364
Pr 0.250 0.072 0.864
Pr 0.250 0.817 0.701
Pr 0.750 0.928 0.136
Pr 0.750 0.183 0.299
Pr 0.250 0.683 0.201
Pr 0.250 0.376 0.036
Pb 0.250 0.827 0.995
Pb 0.750 0.173 0.005
Pb 0.750 0.327 0.505
Pb 0.750 0.035 0.681
Pb 0.250 0.535 0.819
Pb 0.250 0.673 0.495
Pb 0.750 0.465 0.181
Pb 0.250 0.965 0.319
Tl 0.250 0.145 0.151
Tl 0.750 0.645 0.349
Tl 0.250 0.355 0.651
Tl 0.750 0.855 0.849

Calculated values
Magnetization: 0.00 μB/f.u.
ΔE_f: -0.4374 eV per atom
E above lowest polymorph: 0.011 eV per atom
VASP energy: -106.983 eV/cell
Space group: Pnma, No. 62

***

Which formula does entry 5 have? Pr2Tl4Pb